{
  "formula": "Sc5C",
  "functional": "SCAN",
  "state": "PBEsol geometry",
  "cell": [[5.485, -1.581, 0.000], [5.485, 1.581, 0.000], [-1.271, 0.000, 6.989]],
  "species": ["Sc", "Sc", "Sc", "Sc", "Sc", "C"],
  "fractional_positions": [[0.000, 0.000, 0.000], [0.090, 0.090, 0.402], [0.284, 0.284, 0.182], [0.393, 0.393, 0.614], [0.688, 0.688, 0.812], [0.636, 0.636, 0.122]],
  "crystal_system": "monoclinic",
  "magmom_total_mub_per_fu": 2.56,
  "relative_energy_mev_per_atom": 0
}